# PbS

A relaxed structure of PbS (PBEsol, the Alexandria database).

## Properties
- ΔE_f (raw): -0.54 eV per atom
- Crystal system: cubic
- Density of states at the Fermi level: 0.00 states/eV per atom
- SG: Fm-3m
- Final energy: -9.46 eV per cell

a = 4.1626 Å, b = 4.1626 Å, c = 4.1626 Å
α = 60.00°, β = 60.00°, γ = 60.00°
Last column: nearest neighbours and their distance in Å.
Fractional coordinates of all 2 atoms:
Pb  0.0000  0.0000  0.0000  6 S 2.94
S  0.5000  0.5000  0.5000  6 Pb 2.94